8
Lattice="5.424 0.000 0.000 0.000 5.424 0.000 2.712 2.712 4.885" Properties=species:S:1:pos:R:3 comment="CsH2Pd (PBE-GGA, relaxed)" magmom_total_mub_per_atom=0.00 space_group="No. 141" e_tot_ev_per_atom=-3.258 pbc="T T T"
H 4.068 5.421 3.664
Pd 2.712 5.424 2.442
H 2.714 1.356 1.221
H 6.780 5.426 3.664
Pd 2.712 2.712 0.000
Cs 0.000 0.000 0.000
H 2.709 4.068 1.221
Cs 5.424 2.712 2.442